The following is a DFT calculation (PBE-GGA) of crystalline Dy4Hg3H2 at its relaxed geometry.

- DOS(E_F) (states/eV per atom) = 0.737
- V (A^3/atom) = 21.12
- total energy (eV per atom) = -3.3276

Lattice parameters (Å, degrees): 4.597 5.753 8.300 107.53 90.00 113.55
Fractional coordinates of all 9 atoms:
Dy 0.290 0.580 0.869
Dy 0.879 0.758 0.596
Dy 0.710 0.420 0.131
H 0.687 0.373 0.384
Hg 0.000 0.000 0.000
Hg 0.398 0.795 0.303
Dy 0.121 0.242 0.404
H 0.313 0.627 0.616
Hg 0.602 0.205 0.697


The following is a DFT calculation (PBE-GGA) of crystalline DyHgH at its relaxed geometry.

- offset from the most stable computed form (meV per atom) = 143
- DOS(E_F) (states/eV per atom) = 0.461
- V (A^3/atom) = 19.28
- total energy (eV per atom) = -3.1533

Lattice parameters (Å, degrees): 3.778 3.778 4.681 90.00 90.00 120.00
Fractional coordinates of all 3 atoms:
Hg 0.000 0.000 0.000
Dy 0.667 0.333 0.500
H 0.333 0.667 0.501


The following is a DFT calculation (PBE-GGA) of crystalline Dy5Hg2HS at its relaxed geometry.

- DOS(E_F) (states/eV per atom) = 0.794
- V (A^3/atom) = 24.13
- total energy (eV per atom) = -4.2326

Lattice parameters (Å, degrees): 3.932 8.988 12.594 90.00 90.00 102.64
Site moments in Bohr magnetons follow the coordinates.
Fractional coordinates of all 18 atoms:
Hg 0.125 0.250 0.702  0.00
Dy 0.307 0.613 0.669  0.00
Hg 0.877 0.753 0.834  0.00
Dy 0.961 0.921 0.516  0.06
Dy 0.694 0.388 0.872  0.00
Dy 0.306 0.612 0.372  0.00
H 0.569 0.138 0.924  0.00
Dy 0.039 0.079 0.016  0.06
H 0.431 0.862 0.424  0.00
Hg 0.123 0.247 0.334  0.00
Dy 0.353 0.707 0.018  0.02
S 0.803 0.605 0.520  0.00
Dy 0.501 0.002 0.769  0.03
Dy 0.693 0.387 0.169  0.00
Dy 0.647 0.293 0.518  0.02
S 0.197 0.395 0.020  0.00
Dy 0.499 0.998 0.269  0.03
Hg 0.875 0.750 0.202  0.00


The following is a DFT calculation (PBE-GGA) of crystalline Dy3HgHS at its relaxed geometry.

- DOS(E_F) (states/eV per atom) = 0.534
- V (A^3/atom) = 22.47
- total energy (eV per atom) = -4.5592

Lattice parameters (Å, degrees): 3.974 8.066 8.636 103.10 90.00 90.00
Fractional coordinates of all 12 atoms:
Hg 0.250 0.183 0.254
Dy 0.750 0.190 0.526
H 0.250 0.089 0.598
Dy 0.250 0.810 0.474
Hg 0.750 0.817 0.746
H 0.750 0.911 0.402
Dy 0.250 0.568 0.828
S 0.250 0.660 0.152
Dy 0.750 0.892 0.136
Dy 0.750 0.432 0.172
S 0.750 0.340 0.848
Dy 0.250 0.108 0.864


Please write out number 3 again, unchanged.
The following is a DFT calculation (PBE-GGA) of crystalline Dy5Hg2HS at its relaxed geometry.

- DOS(E_F) (states/eV per atom) = 0.794
- V (A^3/atom) = 24.13
- total energy (eV per atom) = -4.2326

Lattice parameters (Å, degrees): 3.932 8.988 12.594 90.00 90.00 102.64
Site moments in Bohr magnetons follow the coordinates.
Fractional coordinates of all 18 atoms:
Hg 0.125 0.250 0.702  0.00
Dy 0.307 0.613 0.669  0.00
Hg 0.877 0.753 0.834  0.00
Dy 0.961 0.921 0.516  0.06
Dy 0.694 0.388 0.872  0.00
Dy 0.306 0.612 0.372  0.00
H 0.569 0.138 0.924  0.00
Dy 0.039 0.079 0.016  0.06
H 0.431 0.862 0.424  0.00
Hg 0.123 0.247 0.334  0.00
Dy 0.353 0.707 0.018  0.02
S 0.803 0.605 0.520  0.00
Dy 0.501 0.002 0.769  0.03
Dy 0.693 0.387 0.169  0.00
Dy 0.647 0.293 0.518  0.02
S 0.197 0.395 0.020  0.00
Dy 0.499 0.998 0.269  0.03
Hg 0.875 0.750 0.202  0.00